This record from Alexandria via LeMat-Bulk describes a relaxed structure of Y2BeAs. The functional is PBE.

## Properties
**ΔH_f (0 K)**: 1.21 eV/f.u.
**E above lowest polymorph**: 1045 meV per atom
**Total energy**: -5.02 eV/atom

Lattice parameters (Å, degrees): 4.9596 4.9596 4.9596 60.00 60.00 60.00
Last column: nearest neighbours and their distance in Å.
Fractional coordinates of all 4 atoms:
As 0.5000 0.5000 0.5000  4 Be 3.04, 4 Y 3.04
Y 0.2500 0.2500 0.2500  4 As 3.04, 4 Y 3.04
Y 0.0000 0.0000 0.0000  4 Y 3.04, 4 Be 3.04
Be 0.7500 0.7500 0.7500  4 As 3.04, 4 Y 3.04

***

This record from Alexandria via LeMat-Bulk describes a relaxed structure of YBeAs2. The functional is PBE.

## Properties
**ΔH_f (0 K)**: -1.32 eV/f.u.
**Total energy**: -5.20 eV/atom

Lattice parameters (Å, degrees): 4.4019 4.4072 3.8360 90.00 90.00 90.00
Last column: nearest neighbours and their distance in Å.
Fractional coordinates of all 4 atoms:
As 0.5000 0.5000 0.0000  4 Y 2.92, 4 Be 2.92, 4 As 3.11
As 0.0000 0.0000 0.0000  4 Be 2.92, 4 Y 2.92, 4 As 3.11
Y 0.0000 0.5000 0.5000  8 As 2.92, 4 Be 3.11
Be 0.5000 0.0000 0.5000  8 As 2.92, 4 Y 3.11